(1)
Crystalline NaTaBiSb at its relaxed geometry. Source: Alexandria, functional PBE-GGA.

Lattice parameters (Å, degrees): 3.2879 3.5804 9.3398 82.95 82.48 69.07
Space group P1 (No. 1)
Unique sites:
Na  0.0000  0.0000  0.0000
Ta  0.1567  0.0984  0.4803
Bi  0.4398  0.4493  0.7120
Sb  0.5534  0.5402  0.2682

Crystal system   triclinic
Formation energy without anion corrections   0.0424 eV per atom
Distance to the lowest polymorph of the same formula   62.6 meV per atom
Spin magnetization   0.00 μB per atom
Calculated density   8.750 g/cm³

***

(2)
Crystalline YBr at its relaxed geometry. Source: Alexandria, functional PBE-GGA.

Lattice parameters (Å, degrees): 3.6327 3.6327 3.6327 90.00 90.00 90.00
Space group Pm-3m (No. 221)
Unique sites:
Y  0.0000  0.0000  0.0000
Br  0.5000  0.5000  0.5000

Crystal system   cubic
Formation energy without anion corrections   -0.7484 eV per atom
Spin magnetization   0.00 μB per atom
Calculated density   5.848 g/cm³

***

(3)
Crystalline AcH2Se at its relaxed geometry. Source: Alexandria, functional PBE-GGA.

Lattice parameters (Å, degrees): 4.3153 4.3153 12.5985 90.00 90.00 120.00
Space group R-3m (No. 166, hexagonal axes)
Unique sites:
Ac  0.0000  0.0000  0.0000
H  0.0000  0.0000  0.3071
Se  0.0000  0.0000  0.5000

Crystal system   trigonal
Distance to the lowest polymorph of the same formula   0.0 meV per atom
Spin magnetization   0.00 μB per atom
Calculated density   7.551 g/cm³

***

(4)
Crystalline Na5Tl2SnHg2 at its relaxed geometry. Source: Alexandria, functional PBE-GGA.

Lattice parameters (Å, degrees): 11.1243 11.1243 4.6893 90.00 90.00 90.00
Space group P4/mbm (No. 127)
Unique sites:
Na  0.0000  0.5000  0.0000
Na  0.0873  0.1856  0.0000
Tl  0.1676  0.6676  0.5000
Sn  0.0000  0.0000  0.5000
Hg  0.1313  0.3687  0.5000

Crystal system   tetragonal
E   -1.69 eV/atom
Spin magnetization   0.00 μB per atom
Calculated density   5.973 g/cm³

***

(5)
Crystalline Sr3Ga9Au2 at its relaxed geometry. Source: Alexandria, functional PBE-GGA.

Lattice parameters (Å, degrees): 4.5156 10.0395 13.2500 90.00 90.00 90.00
Space group Immm (No. 71)
Unique sites:
Sr  0.0000  0.0000  0.0000
Sr  0.0000  0.0000  0.3101
Ga  0.0000  0.2754  0.1422
Ga  0.0000  0.3683  0.3358
Ga  0.0000  0.5000  0.0000
Au  0.0000  0.2124  0.5000

Crystal system   orthorhombic
E   -3.23 eV/atom
Spin magnetization   0.00 μB per atom
Calculated density   7.101 g/cm³

***

(6)
Crystalline VPdS2 at its relaxed geometry. Source: Alexandria, functional PBE-GGA.

Lattice parameters (Å, degrees): 3.1147 3.1147 22.7837 90.00 90.00 120.00
Space group R-3m (No. 166, hexagonal axes)
Unique sites:
V  0.0000  0.0000  0.0000
Pd  0.0000  0.0000  0.5000
S  0.0000  0.0000  0.3988

Crystal system   trigonal
Formation energy without anion corrections   -0.6783 eV per atom
Spin magnetization   0.00 μB per atom
Calculated density   5.764 g/cm³

***

(7)
Crystalline PmDy5Mg4 at its relaxed geometry. Source: Alexandria, functional PBE-GGA.

Lattice parameters (Å, degrees): 3.7340 3.7340 20.3515 90.00 90.00 90.00
Space group P4/mmm (No. 123)
Unique sites:
Pm  0.0000  0.0000  0.0000
Dy  0.5000  0.5000  0.1206
Dy  0.5000  0.5000  0.3112
Dy  0.5000  0.5000  0.5000
Mg  0.0000  0.0000  0.2167
Mg  0.0000  0.0000  0.4051

Crystal system   tetragonal
E   -3.47 eV/atom
Spin magnetization   0.00 μB per atom
Calculated density   6.172 g/cm³

***

(8)
Crystalline LaAg2F11 at its relaxed geometry. Source: Alexandria, functional PBE-GGA.

Lattice parameters (Å, degrees): 8.7344 10.3177 10.7769 90.00 90.00 90.00
Space group Ibam (No. 72)
Unique sites:
La  0.0000  0.0000  0.2500
Ag  0.2082  0.2820  0.0000
F  0.0000  0.5000  0.0000
F  0.0651  0.3423  0.5000
F  0.1222  0.1658  0.1300
F  0.2033  0.1015  0.3726

Crystal system   orthorhombic
Formation energy without anion corrections   -1.7056 eV per atom
Spin magnetization   0.00 μB per atom
Calculated density   3.855 g/cm³

***

(9)
Crystalline CsMg3Re at its relaxed geometry. Source: Alexandria, functional PBE-GGA.

Lattice parameters (Å, degrees): 5.3876 5.3876 5.3876 90.00 90.00 90.00
Space group Pm-3m (No. 221)
Unique sites:
Cs  0.0000  0.0000  0.0000
Mg  0.0000  0.5000  0.5000
Re  0.5000  0.5000  0.5000

Crystal system   cubic
Distance to the lowest polymorph of the same formula   0.0 meV per atom
Spin magnetization   0.23 μB per atom
Calculated density   4.163 g/cm³

***

(10)
Crystalline CrTcAg2 at its relaxed geometry. Source: Alexandria, functional PBE-GGA.

Lattice parameters (Å, degrees): 3.7660 3.7660 4.4846 90.00 90.00 90.00
Space group P4/mmm (No. 123)
Unique sites:
Cr  0.0000  0.0000  0.0000
Tc  0.5000  0.5000  0.0000
Ag  0.0000  0.5000  0.5000

Crystal system   tetragonal
Distance to the lowest polymorph of the same formula   228.6 meV per atom
Spin magnetization   0.28 μB per atom
Calculated density   9.548 g/cm³

***

(11)
Crystalline Zr2TaHg at its relaxed geometry. Source: Alexandria, functional PBE-GGA.

Lattice parameters (Å, degrees): 3.2020 3.7503 7.0785 90.00 90.00 90.00
Space group Pmmm (No. 47)
Unique sites:
Zr  0.0000  0.0000  0.2389
Ta  0.5000  0.5000  0.0000
Hg  0.5000  0.5000  0.5000

Crystal system   orthorhombic
E   -7.37 eV/atom
Spin magnetization   0.00 μB per atom
Calculated density   11.018 g/cm³

***

(12)
Crystalline AlTl at its relaxed geometry. Source: Alexandria, functional PBE-GGA.

Lattice parameters (Å, degrees): 6.3713 6.3713 6.3713 90.00 90.00 90.00
Space group F-43m (No. 216)
Unique sites:
Al  0.0000  0.0000  0.0000
Tl  0.2500  0.2500  0.7500

Crystal system   cubic
E   -2.43 eV/atom
Spin magnetization   0.00 μB per atom
Calculated density   5.942 g/cm³

***

What is the formula in the ninth record? CsMg3Re